PmRuC | PBE | optimized geometry

abc: 3.5509 5.8736 5.2189
angles: 90.00 90.00 90.00
Fractional positions:
C (0.0000, 0.5000, 0.5000)
C (0.0000, 0.0000, 0.5000)
Pm (0.5000, 0.7500, 0.7689)
Pm (0.5000, 0.2500, 0.2311)
Ru (0.0000, 0.7500, 0.2742)
Ru (0.0000, 0.2500, 0.7258)

Properties
For the energy of formation from the pure elements, the calculation gives -0.0745 eV per atom. The space group is Pmma. The total energy is -7.8246 eV/atom. The energy above the lowest structure with this stoichiometry comes out at 0.0 kJ per mole of atoms.